Compound: TlIrSeBr2
Source: Alexandria
Functional: PBE
Structure: relaxed

The structure in POSCAR format:
```
TlIrSeBr2
1.0
-0.078 3.509 4.179
-1.721 -3.982 3.312
4.446 -1.091 0.999
Tl Ir Se Br
1 1 1 2
Direct
0.500 0.500 0.500
0.000 0.000 0.000
0.000 0.000 0.500
0.000 0.500 0.000
0.500 0.000 0.000
```

Results
raw total energy = -3.70 eV/atom
space group = P4/mmm, No. 123
crystal system = tetragonal
ΔE_f (raw) = -0.0873 eV per atom
DOS(E_F) = 0.647 states/eV per atom
energy above the lowest structure with this stoichiometry = 0 meV per atom

Compound: HoSn3Pd12
Source: Alexandria
Functional: PBE
Structure: relaxed

The structure in POSCAR format:
```
HoSn3Pd12
1.0
-2.163 -0.202 3.435
-1.592 -3.539 -1.210
12.154 -7.926 7.188
Ho Sn Pd
1 3 12
Direct
0.000 0.000 0.000
0.000 0.000 0.252
0.000 0.000 0.500
0.000 0.000 0.748
0.500 0.500 0.000
0.500 0.500 0.253
0.500 0.500 0.500
0.500 0.500 0.747
0.500 0.000 0.129
0.500 0.000 0.376
0.500 0.000 0.624
0.500 0.000 0.871
0.000 0.500 0.129
0.000 0.500 0.376
0.000 0.500 0.624
0.000 0.500 0.871
```

Results
raw total energy = -5.53 eV/atom
space group = P4/mmm, No. 123
crystal system = tetragonal
DOS(E_F) = 0.270 states/eV per atom
DFT formation energy = -930 kJ/mol of formula units

Compound: NbRe4B2
Source: Alexandria
Functional: PBE
Structure: relaxed

The structure in POSCAR format:
```
NbRe4B2
1.0
-1.843 3.258 0.693
-1.731 -0.255 -3.403
-3.940 -3.164 4.393
Nb Re B
1 4 2
Direct
0.000 0.000 0.000
0.500 0.828 0.656
0.000 0.677 0.355
0.500 0.172 0.344
0.000 0.323 0.645
0.500 0.571 0.141
0.500 0.429 0.859
```

Results
raw total energy = -10.45 eV/atom
space group = Cmmm, No. 65
crystal system = orthorhombic
DOS(E_F) = 0.769 states/eV per atom
DFT formation energy = 7 kJ/mol of formula units